1.
First-principles (GGA-PBE) data for a relaxed Pm10Sn3Pb3 crystal, as listed in Alexandria.

Cell lengths 6.812, 9.279, 9.279 Å; angles 120.00, 90.00, 90.00 degrees
Element x y z (fractional)
Pm: 0.247 0.667 0.333
Pm: 0.247 0.333 0.667
Pm: 0.753 0.333 0.667
Pm: 0.753 0.667 0.333
Pm: 0.500 0.000 0.760
Pm: 0.500 0.760 0.000
Pm: 0.500 0.240 0.240
Pm: 0.000 0.000 0.240
Pm: 0.000 0.240 0.000
Pm: 0.000 0.760 0.760
Sn: 0.000 0.000 0.606
Sn: 0.000 0.606 0.000
Sn: 0.000 0.394 0.394
Pb: 0.500 0.000 0.395
Pb: 0.500 0.395 0.000
Pb: 0.500 0.605 0.605

Summary:
DFT formation energy = -10.0 eV/f.u.
density of states at the Fermi level = 0.96 states/eV/atom
calculated volume = 508 Å³/f.u.

---

2.
First-principles (GGA-PBE) data for a relaxed Pm4Sn3Pb2 crystal, as listed in Alexandria.

Cell lengths 6.862, 10.440, 8.632 Å; angles 90.00, 113.42, 90.00 degrees
Element x y z (fractional)
Pm: 0.713 0.750 0.926
Pm: 0.787 0.250 0.074
Pm: 0.287 0.250 0.074
Pm: 0.213 0.750 0.926
Pm: 0.194 0.985 0.388
Pm: 0.806 0.015 0.612
Pm: 0.306 0.485 0.612
Pm: 0.694 0.515 0.388
Sn: 0.000 0.000 0.000
Sn: 0.500 0.500 0.000
Sn: 0.510 0.750 0.519
Sn: 0.990 0.250 0.481
Sn: 0.490 0.250 0.481
Sn: 0.010 0.750 0.519
Pb: 0.110 0.588 0.219
Pb: 0.890 0.412 0.781
Pb: 0.390 0.088 0.781
Pb: 0.610 0.912 0.219

Summary:
DFT formation energy = -4.0 eV/f.u.
density of states at the Fermi level = 0.54 states/eV/atom
calculated volume = 284 Å³/f.u.

---

3.
First-principles (GGA-PBE) data for a relaxed Pm2SnPb2 crystal, as listed in Alexandria.

Cell lengths 4.247, 4.247, 9.405 Å; angles 103.05, 103.05, 90.00 degrees
Element x y z (fractional)
Pm: 0.401 0.401 0.801
Pm: 0.599 0.599 0.199
Sn: 0.000 0.000 0.000
Pb: 0.750 0.250 0.500
Pb: 0.250 0.750 0.500

Summary:
DFT formation energy = -1.3 eV/f.u.
ΔE to the lowest computed polymorph = 161.6 meV/atom
density of states at the Fermi level = 1.21 states/eV/atom
calculated volume = 161 Å³/f.u.